1.
A relaxed TmTh2Cr2N6 crystal, computed with GGA-PBE.

Cell lengths 5.4787, 5.4787, 18.0191 Å; angles 90.00, 90.00, 120.00 degrees
Space group R-3m (No. 166, hexagonal axes)
Unique sites:
Tm1 0.0000 0.0000 0.0000 x3
Th1 0.0000 0.0000 0.2107 x6
Cr1 0.0000 0.0000 0.3992 x6
N1 0.0061 0.5031 0.7657 x18

Results
Formation energy from raw total energies (meV per atom): -940
DOS(E_F) (states/eV/cell): 16.136
Electronic total energy (eV/atom): -8.9865

***

2.
A relaxed CePaGePt crystal, computed with GGA-PBE.

Cell lengths 7.140, 7.140, 7.140 Å; angles 90.00, 90.00, 90.00 degrees
Space group F-43m (No. 216)
Unique sites:
Ce1 0.000 0.000 0.000 x4
Pa1 0.000 0.000 0.500 x4
Ge1 0.250 0.250 0.750 x4
Pt1 0.250 0.250 0.250 x4

Results
Distance to the lowest polymorph of the same formula (meV/atom): 4
DOS(E_F) (states/eV/cell): 43.245
Calculated formation energy (eV/f.u.): -2.1
Electronic total energy (eV/atom): -7.0561

***

3.
A relaxed Mg2AsPb crystal, computed with GGA-PBE.

Cell lengths 7.281, 7.281, 7.281 Å; angles 90.00, 90.00, 90.00 degrees
Space group F-43m (No. 216)
Unique sites:
Mg1 0.000 0.000 0.000 x4
Mg2 0.250 0.250 0.250 x4
As1 0.000 0.000 0.500 x4
Pb1 0.250 0.250 0.750 x4

Results
Distance to the lowest polymorph of the same formula (meV/atom): 297
DOS(E_F) (states/eV/cell): 13.674
Calculated formation energy (eV/f.u.): 0.3
Electronic total energy (eV/atom): -2.8134

***

4.
A relaxed ScZn3Cd crystal, computed with GGA-PBE.

Cell lengths 4.853, 4.853, 4.853 Å; angles 90.00, 90.00, 90.00 degrees
Space group Pm-3m (No. 221)
Unique sites:
Sc1 0.000 0.000 0.000 x1
Zn1 0.000 0.500 0.500 x3
Cd1 0.500 0.500 0.500 x1

Results
Distance to the lowest polymorph of the same formula (meV/atom): 0
DOS(E_F) (states/eV/cell): 2.052
Calculated formation energy (eV/f.u.): 2.4
Electronic total energy (eV/atom): -1.7377

***

5.
A relaxed TbSm2Dy3As6 crystal, computed with GGA-PBE.

Cell lengths 18.104, 4.156, 8.306 Å; angles 90.00, 103.25, 90.00 degrees
Space group C2/m (No. 12)
Unique sites:
Tb1 0.000 0.000 0.000 x2
Sm1 0.166 0.500 0.333 x4
Dy1 0.000 0.000 0.500 x2
Dy2 0.167 0.500 0.834 x4
As1 0.002 0.500 0.750 x4
As2 0.165 0.000 0.587 x4
As3 0.167 0.000 0.079 x4

Results
DOS(E_F) (states/eV/cell): 3.565
Calculated formation energy (eV/f.u.): -18.4
Electronic total energy (eV/atom): -6.1798

***

6.
A relaxed Ti2Rh2W crystal, computed with GGA-PBE.

Cell lengths 7.354, 7.354, 2.854 Å; angles 90.00, 90.00, 90.00 degrees
Space group P4/mbm (No. 127)
Unique sites:
Ti1 0.152 0.348 0.000 x4
Rh1 0.150 0.650 0.500 x4
W1 0.000 0.000 0.000 x2

Results
Distance to the lowest polymorph of the same formula (meV/atom): 9
DOS(E_F) (states/eV/cell): 6.937
Calculated formation energy (eV/f.u.): -1.5
Electronic total energy (eV/atom): -8.9959

***

7.
A relaxed LiTaBeH2 crystal, computed with GGA-PBE.

Cell lengths 3.469, 3.469, 4.782 Å; angles 90.00, 90.00, 90.00 degrees
Space group P4/mmm (No. 123)
Unique sites:
Li1 0.000 0.000 0.000 x1
Ta1 0.500 0.500 0.000 x1
Be1 0.500 0.500 0.500 x1
H1 0.000 0.500 0.500 x2

Results
Distance to the lowest polymorph of the same formula (meV/atom): 696
DOS(E_F) (states/eV/cell): 3.309
Electronic total energy (eV/atom): -3.6395

***

8.
A relaxed Re3PbS6 crystal, computed with GGA-PBE.

Cell lengths 16.371, 9.579, 11.935 Å; angles 90.00, 90.21, 90.00 degrees
Space group Cc (No. 9)
Unique sites:
Re1 0.000 0.102 0.000 x4
Re2 0.001 0.179 0.787 x4
Re3 0.048 0.356 0.944 x4
Re4 0.362 0.354 0.391 x4
Re5 0.409 0.103 0.335 x4
Re6 0.409 0.178 0.550 x4
Pb1 0.089 0.259 0.425 x4
Pb2 0.221 0.253 0.708 x4
S1 0.040 0.275 0.136 x4
S2 0.042 0.417 0.748 x4
S3 0.066 0.090 0.611 x4
S4 0.127 0.149 0.897 x4
S5 0.171 0.493 0.993 x4
S6 0.236 0.481 0.343 x4
S7 0.284 0.148 0.440 x4
S8 0.352 0.091 0.725 x4
S9 0.367 0.416 0.586 x4
S10 0.371 0.276 0.199 x4
S11 0.452 0.453 0.847 x4
S12 0.455 0.050 0.985 x4

Results
Formation energy from raw total energies (meV per atom): -502
Electronic total energy (eV/atom): -7.0842